# GGA-PBEsol FeAuO2F, relaxed
# N(E_F) (states/eV/cell): 5.915
# Electronic total energy (eV/cell): -23.8
# Uncorrected formation energy (eV per atom): 0.3099
data_FeAuO2F
_chemical_formula_sum 'Fe1 Au1 O2 F1'
_cell_length_a 4.021
_cell_length_b 4.021
_cell_length_c 4.159
_cell_angle_alpha 90.00
_cell_angle_beta 90.00
_cell_angle_gamma 90.00
_space_group_name_H-M_alt 'P 4/m m m'
_space_group_IT_number 123
_space_group_name_Hall '-P 4 2'
loop_
_atom_site_label
_atom_site_type_symbol
_atom_site_fract_x
_atom_site_fract_y
_atom_site_fract_z
Fe1 Fe 0.000 0.000 0.000
Au1 Au 0.500 0.500 0.500
O1 O 0.000 0.500 0.500
F1 F 0.500 0.500 0.000